VASP calculation (GGA+U) on a relaxed structure of NaHoMoO4.

a = 6.467 Å, b = 6.832 Å, c = 9.310 Å
α = 90.00°, β = 90.00°, γ = 90.00°
Space group Imma (No. 74)
Asymmetric unit:
Na 0.000 0.250 0.121 (multiplicity 4)
Ho 0.000 0.000 0.500 (multiplicity 4)
Mo 0.250 0.250 0.750 (multiplicity 4)
O 0.000 0.045 0.743 (multiplicity 8)
O 0.225 0.250 0.530 (multiplicity 8)

Values from the calculation:
* total DFT energy (no corrections): -7.042 eV/atom
* spin magnetization: 2.0 μB per formula unit